No. 1
PBEsol PrCo2As2, relaxed; DFT formation energy = -0.776 eV per atom
1.0
-2.000 2.000 5.067
2.000 -2.000 5.067
2.000 2.000 -5.067
Pr Co As
1 2 2
Direct
0.000 0.000 0.000
0.250 0.750 0.500
0.750 0.250 0.500
0.365 0.365 0.000
0.635 0.635 0.000

***

No. 2
PBEsol YTaOs2, relaxed; DFT formation energy = -0.274 eV per atom
1.0
3.191 0.000 0.000
0.000 3.191 0.000
0.000 0.000 6.826
Y Ta Os
1 1 2
Direct
0.000 0.000 0.000
0.000 0.000 0.500
0.500 0.500 0.280
0.500 0.500 0.720